A relaxed TeRuPt2 crystal. Source: Alexandria, functional PBE.

Computed properties:
As for the space-group type: Pmm2 (25). For the total energy, the calculation gives -5.942 eV per atom. The density of states at the Fermi level is 2.41 states/eV/f.u.

Lattice parameters (Å, degrees): 4.2756 3.5768 4.5506 90.01 90.00 90.00
Atoms (fractional coordinates):
Pt  0.5000  0.1250  0.3244
Pt  0.0000  0.1250  0.9596
Te  0.5000  0.6251  0.7815
Ru  0.0000  0.6249  0.4344